Arrangement 1

Compound: Pm2Pr3Mg
Source: Alexandria via LeMat-Bulk
Functional: PBE
Structure: optimized geometry

Properties
magnetization = 0.00 μB/atom

Unit cell a=5.7736 b=18.1361 c=3.8831 alpha=90.00 beta=90.00 gamma=90.00
Last column: nearest neighbours and their distance in Å.
Space group Cmmm (No. 65)
Unique sites:
Pm 0.0000 0.1803 0.0000 (multiplicity 4)  8 Pr 3.53-3.80, 4 Pm 3.84-3.88
Pr 0.0000 0.0000 0.5000 (multiplicity 2)  4 Mg 3.48, 4 Pm 3.80, 2 Pr 3.88
Pr 0.0000 0.3535 0.5000 (multiplicity 4)  2 Mg 3.29, 4 Pm 3.53
Mg 0.0000 0.5000 0.0000 (multiplicity 2)  8 Pr 3.29-3.48

Arrangement 2

Compound: Pm2Pr3Mg
Source: Alexandria via LeMat-Bulk
Functional: PBE
Structure: optimized geometry

Properties
magnetization = 0.00 μB/atom

Unit cell a=3.4241 b=6.3298 c=19.3780 alpha=90.00 beta=90.00 gamma=90.00
Last column: nearest neighbours and their distance in Å.
Space group Immm (No. 71)
Unique sites:
Pm 0.0000 0.0000 0.1564 (multiplicity 4)  7 Pr 3.41-3.60, 2 Pm 3.42
Pr 0.0000 0.0000 0.3322 (multiplicity 4)  1 Mg 3.25, 5 Pm 3.41-3.60, 2 Pr 3.42
Pr 0.0000 0.5000 0.5000 (multiplicity 2)  2 Mg 3.16, 2 Pr 3.42, 4 Pm 3.48
Mg 0.0000 0.0000 0.5000 (multiplicity 2)  4 Pr 3.16-3.25, 2 Mg 3.42

arrangement 1 comes first in stability; the runner-up is 322 meV per atom higher.

Arrangement 1

Compound: PmPrMgSc
Source: Alexandria via LeMat-Bulk
Functional: PBE
Structure: optimized geometry

Properties
magnetization = 0.09 μB/atom

Unit cell a=3.7169 b=3.7169 c=8.6109 alpha=90.00 beta=90.00 gamma=90.00
Last column: nearest neighbours and their distance in Å.
Space group P4mm (No. 99)
Unique sites:
Pm 0.0000 0.0000 0.0000 (multiplicity 1)  4 Mg 3.37, 4 Sc 3.39, 4 Pm 3.72
Pr 0.0000 0.0000 0.4953 (multiplicity 1)  4 Mg 3.40, 4 Sc 3.43, 4 Pr 3.72
Mg 0.5000 0.5000 0.2445 (multiplicity 1)  4 Pm 3.37, 4 Pr 3.40, 4 Mg 3.72
Sc 0.5000 0.5000 0.7505 (multiplicity 1)  4 Pm 3.39, 4 Pr 3.43, 4 Sc 3.72

Arrangement 2

Compound: PmPrMgSc
Source: Alexandria via LeMat-Bulk
Functional: PBE
Structure: optimized geometry

Properties
magnetization = 0.00 μB/atom

Unit cell a=7.7804 b=7.7804 c=7.7804 alpha=90.00 beta=90.00 gamma=90.00
Last column: nearest neighbours and their distance in Å.
Space group F-43m (No. 216)
Unique sites:
Pm 0.0000 0.0000 0.0000 (multiplicity 4)  4 Sc 3.37, 4 Mg 3.37
Pr 0.0000 0.0000 0.5000 (multiplicity 4)  4 Mg 3.37, 4 Sc 3.37
Mg 0.2500 0.2500 0.2500 (multiplicity 4)  4 Pr 3.37, 4 Pm 3.37
Sc 0.2500 0.2500 0.7500 (multiplicity 4)  4 Pr 3.37, 4 Pm 3.37

arrangement 1 comes first in stability; the runner-up is 19 meV per atom higher.

Arrangement 1

Compound: PmPrSmMg
Source: Alexandria via LeMat-Bulk
Functional: PBE
Structure: optimized geometry

Properties
magnetization = 0.00 μB/atom

Unit cell a=3.7120 b=3.7120 c=9.3194 alpha=90.00 beta=90.00 gamma=90.00
Last column: nearest neighbours and their distance in Å.
Space group P4mm (No. 99)
Unique sites:
Pm 0.0000 0.0000 0.0000 (multiplicity 1)  4 Sm 3.61, 4 Pr 3.66, 4 Pm 3.71
Pr 0.5000 0.5000 0.2739 (multiplicity 1)  4 Mg 3.42, 4 Pm 3.66, 4 Pr 3.71
Sm 0.5000 0.5000 0.7341 (multiplicity 1)  4 Mg 3.36, 4 Pm 3.61, 4 Sm 3.71
Mg 0.0000 0.0000 0.5087 (multiplicity 1)  4 Sm 3.36, 4 Pr 3.42, 4 Mg 3.71

Arrangement 2

Compound: PmPrSmMg
Source: Alexandria via LeMat-Bulk
Functional: PBE
Structure: optimized geometry

Properties
magnetization = 0.00 μB/atom

Unit cell a=7.9959 b=7.9959 c=7.9959 alpha=90.00 beta=90.00 gamma=90.00
Last column: nearest neighbours and their distance in Å.
Space group F-43m (No. 216)
Unique sites:
Pm 0.0000 0.0000 0.0000 (multiplicity 4)  4 Mg 3.46, 4 Sm 3.46
Pr 0.0000 0.0000 0.5000 (multiplicity 4)  4 Mg 3.46, 4 Sm 3.46
Sm 0.2500 0.2500 0.2500 (multiplicity 4)  4 Pr 3.46, 4 Pm 3.46
Mg 0.2500 0.2500 0.7500 (multiplicity 4)  4 Pr 3.46, 4 Pm 3.46

arrangement 1 comes first in stability; the runner-up is 82 meV per atom higher.

Arrangement 1

Compound: Pm2MgPt
Source: Alexandria via LeMat-Bulk
Functional: PBE
Structure: optimized geometry

Properties
magnetization = 0.00 μB/atom

Unit cell a=3.7167 b=3.7167 c=7.4739 alpha=90.00 beta=90.00 gamma=90.00
Last column: nearest neighbours and their distance in Å.
Space group P4/mmm (No. 123)
Unique sites:
Pm 0.0000 0.0000 0.2215 (multiplicity 2)  4 Pt 3.11, 1 Pm 3.31, 4 Mg 3.35
Mg 0.5000 0.5000 0.5000 (multiplicity 1)  8 Pm 3.35, 4 Mg 3.72, 2 Pt 3.74
Pt 0.5000 0.5000 0.0000 (multiplicity 1)  8 Pm 3.11

Arrangement 2

Compound: Pm2MgPt
Source: Alexandria via LeMat-Bulk
Functional: PBE
Structure: optimized geometry

Properties
magnetization = 0.00 μB/atom

Unit cell a=3.3283 b=3.3283 c=33.4091 alpha=90.00 beta=90.00 gamma=120.00
Last column: nearest neighbours and their distance in Å.
Space group R-3m (No. 166, hexagonal axes)
Unique sites:
Pm 0.0000 0.0000 0.0812 (multiplicity 6)  1 Pt 2.71
Mg 0.0000 0.0000 0.5000 (multiplicity 3)  6 Mg 3.33, 6 Pm 3.44
Pt 0.0000 0.0000 0.0000 (multiplicity 3)  2 Pm 2.71

arrangement 1 comes first in stability; the runner-up is 719 meV per atom higher.

Arrangement 1

Compound: Pm2MgPt3
Source: Alexandria via LeMat-Bulk
Functional: PBE
Structure: optimized geometry

Properties
magnetization = 0.00 μB/atom

Unit cell a=3.4709 b=3.4709 c=10.3548 alpha=90.00 beta=90.00 gamma=90.00
Last column: nearest neighbours and their distance in Å.
Space group P4/mmm (No. 123)
Unique sites:
Pm 0.0000 0.0000 0.1819 (multiplicity 2)  8 Pt 3.06-3.09, 1 Mg 3.29
Mg 0.0000 0.0000 0.5000 (multiplicity 1)  8 Pt 2.86
Pt 0.5000 0.5000 0.0000 (multiplicity 1)  8 Pm 3.09
Pt 0.5000 0.5000 0.3578 (multiplicity 2)  4 Mg 2.86, 1 Pt 2.95, 4 Pm 3.06

Arrangement 2

Compound: Pm2MgPt3
Source: Alexandria via LeMat-Bulk
Functional: PBE
Structure: optimized geometry

Properties
magnetization = 0.00 μB/atom

Unit cell a=7.3168 b=3.9894 c=17.6633 alpha=90.00 beta=90.00 gamma=90.00
Last column: nearest neighbours and their distance in Å.
Space group Pnma (No. 62)
Unique sites:
Pm 0.1028 0.2500 0.2150 (multiplicity 4)  9 Pt 3.02-3.37
Pm 0.1427 0.2500 0.4282 (multiplicity 4)  7 Pt 2.92-3.08
Mg 0.0169 0.7500 0.0640 (multiplicity 4)  4 Pt 2.63-2.78
Pt 0.1033 0.2500 0.6569 (multiplicity 4)  4 Pt 2.90-2.96, 4 Pm 3.08-3.11, 1 Mg 3.23
Pt 0.2045 0.2500 0.8156 (multiplicity 4)  1 Mg 2.67, 2 Pt 2.90-2.96
Pt 0.2475 0.2500 0.0493 (multiplicity 4)  3 Mg 2.63-2.78, 1 Pm 2.92

arrangement 2 comes first in stability; the runner-up is 32 meV per atom higher.

Arrangement 1

Compound: PmPuMg2
Source: Alexandria via LeMat-Bulk
Functional: PBE
Structure: optimized geometry

Properties
magnetization = 1.62 μB/atom

Unit cell a=7.6715 b=7.6715 c=7.6715 alpha=90.00 beta=90.00 gamma=90.00
Last column: nearest neighbours and their distance in Å.
Space group Fm-3m (No. 225)
Unique sites:
Pm 0.0000 0.0000 0.0000 (multiplicity 4)  8 Mg 3.32
Pu 0.0000 0.0000 0.5000 (multiplicity 4)  8 Mg 3.32
Mg 0.2500 0.2500 0.2500 (multiplicity 8)  4 Pm 3.32, 4 Pu 3.32

Arrangement 2

Compound: PmPuMg2
Source: Alexandria via LeMat-Bulk
Functional: PBE
Structure: optimized geometry

Properties
magnetization = 1.52 μB/atom

Unit cell a=3.2686 b=3.2686 c=10.1203 alpha=90.00 beta=90.00 gamma=90.00
Last column: nearest neighbours and their distance in Å.
Space group P4/mmm (No. 123)
Unique sites:
Pm 0.0000 0.0000 0.0000 (multiplicity 1)  4 Pm 3.27, 8 Mg 3.45
Pu 0.0000 0.0000 0.5000 (multiplicity 1)  4 Pu 3.27, 8 Mg 3.41
Mg 0.5000 0.5000 0.2529 (multiplicity 2)  4 Mg 3.27, 4 Pu 3.41, 4 Pm 3.45

Arrangement 3

Compound: PmPuMg2
Source: Alexandria via LeMat-Bulk
Functional: PBE
Structure: optimized geometry

Properties
magnetization = 1.57 μB/atom

Unit cell a=4.7298 b=4.7298 c=4.9260 alpha=90.00 beta=90.00 gamma=90.00
Last column: nearest neighbours and their distance in Å.
Space group P4/mmm (No. 123)
Unique sites:
Pm 0.0000 0.0000 0.0000 (multiplicity 1)  4 Pu 3.34, 8 Mg 3.41
Pu 0.5000 0.5000 0.0000 (multiplicity 1)  4 Pm 3.34, 8 Mg 3.41
Mg 0.0000 0.5000 0.5000 (multiplicity 2)  4 Mg 3.34, 4 Pm 3.41, 4 Pu 3.41

arrangement 2 comes first in stability; the runner-up is 24 meV per atom higher.

Arrangement 1

Compound: PmPu2Mg
Source: Alexandria via LeMat-Bulk
Functional: PBE
Structure: optimized geometry

Properties
magnetization = 3.14 μB/atom

Unit cell a=4.5952 b=4.5952 c=5.2692 alpha=90.00 beta=90.00 gamma=90.00
Last column: nearest neighbours and their distance in Å.
Space group P4/mmm (No. 123)
Unique sites:
Pm 0.0000 0.0000 0.0000 (multiplicity 1)  4 Mg 3.25, 8 Pu 3.50
Pu 0.0000 0.5000 0.5000 (multiplicity 2)  4 Pu 3.25, 4 Mg 3.50, 4 Pm 3.50
Mg 0.5000 0.5000 0.0000 (multiplicity 1)  4 Pm 3.25, 8 Pu 3.50

Arrangement 2

Compound: PmPu2Mg
Source: Alexandria via LeMat-Bulk
Functional: PBE
Structure: optimized geometry

Properties
magnetization = 2.95 μB/atom

Unit cell a=3.2656 b=3.2656 c=10.4639 alpha=90.00 beta=90.00 gamma=90.00
Last column: nearest neighbours and their distance in Å.
Space group P4/mmm (No. 123)
Unique sites:
Pm 0.0000 0.0000 0.0000 (multiplicity 1)  4 Pm 3.27, 8 Pu 3.58
Pu 0.5000 0.5000 0.2610 (multiplicity 2)  4 Pu 3.27, 4 Mg 3.40, 4 Pm 3.58
Mg 0.0000 0.0000 0.5000 (multiplicity 1)  4 Mg 3.27, 8 Pu 3.40

arrangement 1 comes first in stability; the runner-up is 42 meV per atom higher.

Arrangement 1

Compound: PmMg2Rh
Source: Alexandria via LeMat-Bulk
Functional: PBE
Structure: optimized geometry

Properties
magnetization = 0.00 μB/atom

Unit cell a=3.2595 b=3.2595 c=8.0141 alpha=90.00 beta=90.00 gamma=90.00
Last column: nearest neighbours and their distance in Å.
Space group P4/mmm (No. 123)
Unique sites:
Pm 0.0000 0.0000 0.0000 (multiplicity 1)  4 Pm 3.26, 8 Mg 3.45
Mg 0.5000 0.5000 0.3206 (multiplicity 2)  4 Rh 2.72, 1 Mg 2.87
Rh 0.0000 0.0000 0.5000 (multiplicity 1)  8 Mg 2.72

Arrangement 2

Compound: PmMg2Rh
Source: Alexandria via LeMat-Bulk
Functional: PBE
Structure: optimized geometry

Properties
magnetization = 0.00 μB/atom

Unit cell a=4.1485 b=10.2433 c=8.4086 alpha=90.00 beta=90.00 gamma=90.00
Last column: nearest neighbours and their distance in Å.
Space group Cmcm (No. 63)
Unique sites:
Pm 0.0000 0.0640 0.2500 (multiplicity 4)  3 Rh 2.96-3.02
Mg 0.0000 0.3466 0.0556 (multiplicity 8)  3 Rh 2.76-2.83, 2 Mg 3.02
Rh 0.0000 0.2304 0.7500 (multiplicity 4)  6 Mg 2.76-2.83, 3 Pm 2.96-3.02

Arrangement 3

Compound: PmMg2Rh
Source: Alexandria via LeMat-Bulk
Functional: PBE
Structure: optimized geometry

Properties
magnetization = 0.00 μB/atom

Unit cell a=3.1471 b=3.1471 c=31.2855 alpha=90.00 beta=90.00 gamma=120.00
Last column: nearest neighbours and their distance in Å.
Space group R-3m (No. 166, hexagonal axes)
Unique sites:
Pm 0.0000 0.0000 0.0000 (multiplicity 3)  6 Pm 3.15, 2 Mg 3.25
Mg 0.0000 0.0000 0.1040 (multiplicity 6)  3 Rh 2.67
Rh 0.0000 0.0000 0.5000 (multiplicity 3)  6 Mg 2.67

arrangement 2 comes first in stability; the runner-up is 172 meV per atom higher.

Arrangement 1

Compound: Pm7Mg2Rh2
Source: Alexandria via LeMat-Bulk
Functional: PBE
Structure: optimized geometry

Properties
magnetization = 0.00 μB/atom

Unit cell a=8.1710 b=11.3114 c=7.4353 alpha=90.00 beta=90.00 gamma=90.00
Last column: nearest neighbours and their distance in Å.
Space group Cmmm (No. 65)
Unique sites:
Pm 0.0000 0.0000 0.0000 (multiplicity 2)  2 Rh 3.25
Pm 0.0000 0.5000 0.2389 (multiplicity 4)  2 Rh 2.99, 2 Mg 3.30
Pm 0.2500 0.2500 0.2489 (multiplicity 8)  2 Rh 2.79
Mg 0.1732 0.0000 0.5000 (multiplicity 4)  1 Mg 2.83
Rh 0.0000 0.2876 0.0000 (multiplicity 4)  6 Pm 2.79-2.99

Arrangement 2

Compound: Pm7Mg2Rh2
Source: Alexandria via LeMat-Bulk
Functional: PBE
Structure: optimized geometry

Properties
magnetization = 0.00 μB/atom

Unit cell a=3.7354 b=16.0514 c=10.8514 alpha=90.00 beta=90.00 gamma=90.00
Last column: nearest neighbours and their distance in Å.
Space group Imm2 (No. 44)
Unique sites:
Pm 0.0000 0.0000 0.0000 (multiplicity 2)  2 Rh 2.95
Pm 0.0000 0.1787 0.5172 (multiplicity 4)  2 Rh 2.90
Pm 0.0000 0.3397 0.3059 (multiplicity 4)  2 Rh 3.01
Pm 0.0000 0.3587 0.7141 (multiplicity 4)  2 Rh 2.89
Mg 0.0000 0.0000 0.6896 (multiplicity 2)  2 Mg 3.08, 7 Pm 3.37-3.42
Mg 0.0000 0.5000 0.9637 (multiplicity 2)  2 Mg 3.08
Rh 0.0000 0.1833 0.0208 (multiplicity 4)  7 Pm 2.89-3.01

arrangement 2 comes first in stability; the runner-up is 50 meV per atom higher.

Arrangement 1

Compound: Pm3Mg2Rh3
Source: Alexandria via LeMat-Bulk
Functional: PBE
Structure: optimized geometry

Properties
magnetization = 0.00 μB/atom

Unit cell a=3.4164 b=5.0068 c=20.7353 alpha=90.00 beta=90.00 gamma=90.00
Last column: nearest neighbours and their distance in Å.
Space group Immm (No. 71)
Unique sites:
Pm 0.0000 0.0000 0.0000 (multiplicity 2)  8 Rh 3.03-3.04
Pm 0.0000 0.5000 0.1202 (multiplicity 4)  6 Rh 3.02-3.03, 2 Mg 3.32
Mg 0.0000 0.0000 0.2257 (multiplicity 4)  2 Rh 2.76
Rh 0.0000 0.0000 0.5000 (multiplicity 2)  8 Pm 3.02-3.03
Rh 0.0000 0.5000 0.3789 (multiplicity 4)  2 Mg 2.76, 6 Pm 3.03-3.04

Arrangement 2

Compound: Pm3Mg2Rh3
Source: Alexandria via LeMat-Bulk
Functional: PBE
Structure: optimized geometry

Properties
magnetization = 0.00 μB/atom

Unit cell a=8.3230 b=8.3230 c=5.8740 alpha=90.00 beta=90.00 gamma=120.00
Last column: nearest neighbours and their distance in Å.
Space group P6_3/mcm (No. 193)
Unique sites:
Pm 0.0000 0.2691 0.2500 (multiplicity 6)  5 Rh 2.80-3.12
Mg 0.3333 0.6667 0.0000 (multiplicity 4)  2 Mg 2.94, 6 Rh 2.95
Rh 0.0000 0.3939 0.7500 (multiplicity 6)  5 Pm 2.80-3.12, 4 Mg 2.95

arrangement 2 comes first in stability; the runner-up is 76 meV per atom higher.

Arrangement 1

Compound: Pm6MgRh2
Source: Alexandria via LeMat-Bulk
Functional: PBE
Structure: optimized geometry

Properties
magnetization = 0.00 μB/atom

Unit cell a=9.6429 b=9.8700 c=10.7176 alpha=90.00 beta=90.00 gamma=90.00
Last column: nearest neighbours and their distance in Å.
Space group Immm (No. 71)
Unique sites:
Pm 0.0000 0.2003 0.2353 (multiplicity 8)  1 Rh 2.81
Pm 0.1908 0.5000 0.1749 (multiplicity 8)  1 Rh 2.78
Pm 0.2109 0.3193 0.5000 (multiplicity 8)  3 Rh 3.05-3.13, 1 Mg 3.31
Mg 0.0000 0.0000 0.0000 (multiplicity 2)  8 Pm 3.20-3.31, 2 Rh 3.21
Mg 0.0000 0.0000 0.5000 (multiplicity 2)  12 Pm 3.46-3.75
Rh 0.0000 0.3252 0.0000 (multiplicity 4)  8 Pm 2.81-3.14
Rh 0.0000 0.5000 0.3688 (multiplicity 4)  6 Pm 2.78-3.05, 1 Rh 2.81

Arrangement 2

Compound: Pm6MgRh2
Source: Alexandria via LeMat-Bulk
Functional: PBE
Structure: optimized geometry

Properties
magnetization = 0.00 μB/atom

Unit cell a=11.7808 b=3.7990 c=12.0590 alpha=90.00 beta=97.51 gamma=90.00
Last column: nearest neighbours and their distance in Å.
Space group C2/m (No. 12)
Unique sites:
Pm 0.0484 0.0000 0.2863 (multiplicity 4)  2 Rh 2.94
Pm 0.1434 0.5000 0.5546 (multiplicity 4)  2 Rh 2.83
Pm 0.2001 0.5000 0.8670 (multiplicity 4)  2 Rh 2.91
Mg 0.0000 0.0000 0.0000 (multiplicity 2)  8 Pm 3.43-3.68, 2 Mg 3.80
Rh 0.2399 0.5000 0.2990 (multiplicity 4)  6 Pm 2.83-2.94

arrangement 1 comes first in stability; the runner-up is 89 meV per atom higher.